Compound: CsNa2ZnHg
Source: Alexandria
Functional: GGA-PBE
Structure: optimized geometry

CIF file:
```
data_CsNa2ZnHg
_cell_length_a 5.9699
_cell_length_b 5.9699
_cell_length_c 5.6900
_cell_angle_alpha 90.00
_cell_angle_beta 90.00
_cell_angle_gamma 90.00
_symmetry_space_group_name_H-M 'P 4/m m m'
_symmetry_Int_Tables_number 123
_symmetry_space_group_name_Hall '-P 4 2'
loop_
_atom_site_label
_atom_site_fract_x
_atom_site_fract_y
_atom_site_fract_z
_atom_site_occupancy
Cs1 0.0000 0.0000 0.0000 1
Na1 0.0000 0.5000 0.5000 1
Zn1 0.5000 0.5000 0.0000 1
Hg1 0.5000 0.5000 0.5000 1
```

## Properties
Offset from the most stable computed form (meV per atom): 6
N(E_F) (states/eV per cell): 2.1
Energy of formation (eV per atom): 0.015
Energy (eV/atom): -0.998



Compound: CsNbHg3
Source: Alexandria
Functional: GGA-PBE
Structure: optimized geometry

CIF file:
```
data_CsNbHg3
_cell_length_a 6.6974
_cell_length_b 6.6974
_cell_length_c 6.6974
_cell_angle_alpha 90.00
_cell_angle_beta 90.00
_cell_angle_gamma 90.00
_symmetry_space_group_name_H-M 'P m -3 m'
_symmetry_Int_Tables_number 221
_symmetry_space_group_name_Hall '-P 4 2 3'
loop_
_atom_site_label
_atom_site_fract_x
_atom_site_fract_y
_atom_site_fract_z
_atom_site_occupancy
Cs1 0.0000 0.0000 0.0000 1
Nb1 0.5000 0.5000 0.5000 1
Hg1 0.0000 0.0000 0.5000 1
```

## Properties
N(E_F) (states/eV per cell): 8.7
Energy of formation (eV per atom): 1.315
Energy (eV/atom): -1.051



Compound: Cs3NbHg
Source: Alexandria
Functional: GGA-PBE
Structure: optimized geometry

CIF file:
```
data_Cs3NbHg
_cell_length_a 7.0547
_cell_length_b 7.0547
_cell_length_c 7.0547
_cell_angle_alpha 90.00
_cell_angle_beta 90.00
_cell_angle_gamma 90.00
_symmetry_space_group_name_H-M 'P m -3 m'
_symmetry_Int_Tables_number 221
_symmetry_space_group_name_Hall '-P 4 2 3'
loop_
_atom_site_label
_atom_site_fract_x
_atom_site_fract_y
_atom_site_fract_z
_atom_site_occupancy
Cs1 0.0000 0.0000 0.5000 1
Nb1 0.5000 0.5000 0.5000 1
Hg1 0.0000 0.0000 0.0000 1
```

## Properties
N(E_F) (states/eV per cell): 6.8
Energy of formation (eV per atom): 1.021
Energy (eV/atom): -1.566



Compound: CsNb2Hg
Source: Alexandria
Functional: GGA-PBE
Structure: optimized geometry

CIF file:
```
data_CsNb2Hg
_cell_length_a 4.6525
_cell_length_b 4.6525
_cell_length_c 22.2872
_cell_angle_alpha 90.00
_cell_angle_beta 90.00
_cell_angle_gamma 90.00
_symmetry_space_group_name_H-M 'I -4 2 d'
_symmetry_Int_Tables_number 122
_symmetry_space_group_name_Hall 'I -4 2bw'
loop_
_atom_site_label
_atom_site_fract_x
_atom_site_fract_y
_atom_site_fract_z
_atom_site_occupancy
Cs1 0.0000 0.0000 0.0000 1
Nb1 0.1014 0.2500 0.6250 1
Hg1 0.0000 0.0000 0.5000 1
```

## Properties
N(E_F) (states/eV per cell): 18.5
Energy of formation (eV per atom): 1.258
Energy (eV/atom): -4.066



Compound: Cs2NbHgS4
Source: Alexandria
Functional: GGA-PBE
Structure: optimized geometry

CIF file:
```
data_Cs2NbHgS4
_cell_length_a 6.8072
_cell_length_b 14.1462
_cell_length_c 24.4464
_cell_angle_alpha 90.00
_cell_angle_beta 90.00
_cell_angle_gamma 90.00
_symmetry_space_group_name_H-M 'F d d d'
_symmetry_Int_Tables_number 70
loop_
_symmetry_equiv_pos_as_xyz
'x,y,z'
'-x,-y,-z'
'-x+1/4,-y+1/4,z'
'x+1/4,y+1/4,-z'
'x,-y+1/4,-z+1/4'
'-x,y+1/4,z+1/4'
'-x+1/4,y,-z+1/4'
'x+1/4,-y,z+1/4'
'x,y+1/2,z+1/2'
'-x,-y+1/2,-z+1/2'
'-x+1/4,-y+3/4,z+1/2'
'x+1/4,y+3/4,-z+1/2'
'x,-y+3/4,-z+3/4'
'-x,y+3/4,z+3/4'
'-x+1/4,y+1/2,-z+3/4'
'x+1/4,-y+1/2,z+3/4'
'x+1/2,y,z+1/2'
'-x+1/2,-y,-z+1/2'
'-x+3/4,-y+1/4,z+1/2'
'x+3/4,y+1/4,-z+1/2'
'x+1/2,-y+1/4,-z+3/4'
'-x+1/2,y+1/4,z+3/4'
'-x+3/4,y,-z+3/4'
'x+3/4,-y,z+3/4'
'x+1/2,y+1/2,z'
'-x+1/2,-y+1/2,-z'
'-x+3/4,-y+3/4,z'
'x+3/4,y+3/4,-z'
'x+1/2,-y+3/4,-z+1/4'
'-x+1/2,y+3/4,z+1/4'
'-x+3/4,y+1/2,-z+1/4'
'x+3/4,-y+1/2,z+1/4'
loop_
_atom_site_label
_atom_site_fract_x
_atom_site_fract_y
_atom_site_fract_z
_atom_site_occupancy
Cs1 0.1250 0.1250 0.3026 1
Nb1 0.1250 0.1250 0.6250 1
Hg1 0.1250 0.1250 0.1250 1
S1 0.0810 0.2815 0.8226 1
```

## Properties
Uncorrected formation energy (eV/atom): -0.884
N(E_F) (states/eV per cell): 23.9
Energy (eV/atom): -4.458



Compound: Cs2NbHgTe4
Source: Alexandria
Functional: GGA-PBE
Structure: optimized geometry

CIF file:
```
data_Cs2NbHgTe4
_cell_length_a 7.3339
_cell_length_b 14.7992
_cell_length_c 26.7047
_cell_angle_alpha 90.00
_cell_angle_beta 90.00
_cell_angle_gamma 90.00
_symmetry_space_group_name_H-M 'F d d d'
_symmetry_Int_Tables_number 70
loop_
_symmetry_equiv_pos_as_xyz
'x,y,z'
'-x,-y,-z'
'-x+1/4,-y+1/4,z'
'x+1/4,y+1/4,-z'
'x,-y+1/4,-z+1/4'
'-x,y+1/4,z+1/4'
'-x+1/4,y,-z+1/4'
'x+1/4,-y,z+1/4'
'x,y+1/2,z+1/2'
'-x,-y+1/2,-z+1/2'
'-x+1/4,-y+3/4,z+1/2'
'x+1/4,y+3/4,-z+1/2'
'x,-y+3/4,-z+3/4'
'-x,y+3/4,z+3/4'
'-x+1/4,y+1/2,-z+3/4'
'x+1/4,-y+1/2,z+3/4'
'x+1/2,y,z+1/2'
'-x+1/2,-y,-z+1/2'
'-x+3/4,-y+1/4,z+1/2'
'x+3/4,y+1/4,-z+1/2'
'x+1/2,-y+1/4,-z+3/4'
'-x+1/2,y+1/4,z+3/4'
'-x+3/4,y,-z+3/4'
'x+3/4,-y,z+3/4'
'x+1/2,y+1/2,z'
'-x+1/2,-y+1/2,-z'
'-x+3/4,-y+3/4,z'
'x+3/4,y+3/4,-z'
'x+1/2,-y+3/4,-z+1/4'
'-x+1/2,y+3/4,z+1/4'
'-x+3/4,y+1/2,-z+1/4'
'x+3/4,-y+1/2,z+1/4'
loop_
_atom_site_label
_atom_site_fract_x
_atom_site_fract_y
_atom_site_fract_z
_atom_site_occupancy
Cs1 0.1250 0.1250 0.3053 1
Nb1 0.1250 0.1250 0.6250 1
Hg1 0.1250 0.1250 0.1250 1
Te1 0.0950 0.2756 0.8181 1
```

## Properties
Uncorrected formation energy (eV/atom): -0.586
N(E_F) (states/eV per cell): 23.2
Energy (eV/atom): -3.667



Compound: CsNdHg
Source: Alexandria
Functional: GGA-PBE
Structure: optimized geometry

CIF file:
```
data_CsNdHg
_cell_length_a 17.8137
_cell_length_b 4.1688
_cell_length_c 7.2480
_cell_angle_alpha 90.00
_cell_angle_beta 90.00
_cell_angle_gamma 90.00
_symmetry_space_group_name_H-M 'A m m 2'
_symmetry_Int_Tables_number 38
loop_
_symmetry_equiv_pos_as_xyz
'x,y,z'
'-x,-y,z'
'-x,y,z'
'x,-y,z'
'x,y+1/2,z+1/2'
'-x,-y+1/2,z+1/2'
'-x,y+1/2,z+1/2'
'x,-y+1/2,z+1/2'
loop_
_atom_site_label
_atom_site_fract_x
_atom_site_fract_y
_atom_site_fract_z
_atom_site_occupancy
Cs1 0.1654 0.0000 0.0000 1
Nd1 0.3851 0.0000 0.3289 1
Hg1 0.0000 0.0000 0.3329 1
Hg2 0.5000 0.0000 0.9961 1
```

## Properties
N(E_F) (states/eV per cell): 14.0
Energy of formation (eV per atom): 0.088
Energy (eV/atom): -1.887



Compound: CsNdHgS3
Source: Alexandria
Functional: GGA-PBE
Structure: optimized geometry

CIF file:
```
data_CsNdHgS3
_cell_length_a 9.3539
_cell_length_b 4.2729
_cell_length_c 10.3286
_cell_angle_alpha 90.00
_cell_angle_beta 109.01
_cell_angle_gamma 90.00
_symmetry_space_group_name_H-M 'P 1 21/m 1'
_symmetry_Int_Tables_number 11
loop_
_symmetry_equiv_pos_as_xyz
'x,y,z'
'-x,-y,-z'
'-x,y+1/2,-z'
'x,-y+1/2,z'
loop_
_atom_site_label
_atom_site_fract_x
_atom_site_fract_y
_atom_site_fract_z
_atom_site_occupancy
Cs1 0.2151 0.2500 0.2406 1
Nd1 0.3321 0.7500 0.8628 1
Hg1 0.0935 0.2500 0.6193 1
S1 0.1235 0.2500 0.8699 1
S2 0.2088 0.7500 0.5446 1
S3 0.4703 0.7500 0.1446 1
```

## Properties
Uncorrected formation energy (eV/atom): -1.236
N(E_F) (states/eV per cell): 0.0
Energy (eV/atom): -4.287



Compound: CsNdHg2Se4
Source: Alexandria
Functional: GGA-PBE
Structure: optimized geometry

CIF file:
```
data_CsNdHg2Se4
_cell_length_a 7.1932
_cell_length_b 8.7499
_cell_length_c 9.5984
_cell_angle_alpha 90.00
_cell_angle_beta 90.00
_cell_angle_gamma 90.00
_symmetry_space_group_name_H-M 'I 2 2 2'
_symmetry_Int_Tables_number 23
loop_
_symmetry_equiv_pos_as_xyz
'x,y,z'
'-x,-y,z'
'x,-y,-z'
'-x,y,-z'
'x+1/2,y+1/2,z+1/2'
'-x+1/2,-y+1/2,z+1/2'
'x+1/2,-y+1/2,-z+1/2'
'-x+1/2,y+1/2,-z+1/2'
loop_
_atom_site_label
_atom_site_fract_x
_atom_site_fract_y
_atom_site_fract_z
_atom_site_occupancy
Cs1 0.0000 0.0000 0.0000 1
Nd1 0.0000 0.0000 0.5000 1
Hg1 0.0000 0.5000 0.1744 1
Se1 0.2304 0.1801 0.3205 1
```

## Properties
Uncorrected formation energy (eV/atom): -0.882
N(E_F) (states/eV per cell): 0.0
Energy (eV/atom): -3.402



Compound: Cs2NdHg2Te4
Source: Alexandria
Functional: GGA-PBE
Structure: optimized geometry

CIF file:
```
data_Cs2NdHg2Te4
_cell_length_a 17.3478
_cell_length_b 4.9933
_cell_length_c 8.8364
_cell_angle_alpha 90.00
_cell_angle_beta 108.66
_cell_angle_gamma 90.00
_symmetry_space_group_name_H-M 'C 1 2/m 1'
_symmetry_Int_Tables_number 12
loop_
_symmetry_equiv_pos_as_xyz
'x,y,z'
'-x,-y,-z'
'-x,y,-z'
'x,-y,z'
'x+1/2,y+1/2,z'
'-x+1/2,-y+1/2,-z'
'-x+1/2,y+1/2,-z'
'x+1/2,-y+1/2,z'
loop_
_atom_site_label
_atom_site_fract_x
_atom_site_fract_y
_atom_site_fract_z
_atom_site_occupancy
Cs1 0.1337 0.0000 0.0828 1
Nd1 0.0000 0.0000 0.5000 1
Hg1 0.1673 0.5000 0.4902 1
Te1 0.0011 0.5000 0.2605 1
Te2 0.1957 0.0000 0.6730 1
```

## Properties
Uncorrected formation energy (eV/atom): -0.829
N(E_F) (states/eV per cell): 3.9
Energy (eV/atom): -3.012



Compound: CsNiHg2
Source: Alexandria
Functional: GGA-PBE
Structure: optimized geometry

CIF file:
```
data_CsNiHg2
_cell_length_a 6.3701
_cell_length_b 6.3701
_cell_length_c 15.6952
_cell_angle_alpha 90.00
_cell_angle_beta 90.00
_cell_angle_gamma 90.00
_symmetry_space_group_name_H-M 'I 41/a m d'
_symmetry_Int_Tables_number 141
loop_
_symmetry_equiv_pos_as_xyz
'x,y,z'
'-x,-y,-z'
'-y+1/4,x+3/4,z+1/4'
'y+1/4,-x+3/4,-z+1/4'
'-x+1/2,-y,z+1/2'
'x+1/2,y,-z+1/2'
'y+1/4,-x+1/4,z+3/4'
'-y+1/4,x+1/4,-z+3/4'
'x,-y,-z'
'-x,y,z'
'-y+1/4,-x+1/4,-z+3/4'
'y+1/4,x+1/4,z+3/4'
'-x+1/2,y,-z+1/2'
'x+1/2,-y,z+1/2'
'y+1/4,x+3/4,-z+1/4'
'-y+1/4,-x+3/4,z+1/4'
'x+1/2,y+1/2,z+1/2'
'-x+1/2,-y+1/2,-z+1/2'
'-y+3/4,x+1/4,z+3/4'
'y+3/4,-x+1/4,-z+3/4'
'-x,-y+1/2,z'
'x,y+1/2,-z'
'y+3/4,-x+3/4,z+1/4'
'-y+3/4,x+3/4,-z+1/4'
'x+1/2,-y+1/2,-z+1/2'
'-x+1/2,y+1/2,z+1/2'
'-y+3/4,-x+3/4,-z+1/4'
'y+3/4,x+3/4,z+1/4'
'-x,y+1/2,-z'
'x,-y+1/2,z'
'y+3/4,x+1/4,-z+3/4'
'-y+3/4,-x+1/4,z+3/4'
loop_
_atom_site_label
_atom_site_fract_x
_atom_site_fract_y
_atom_site_fract_z
_atom_site_occupancy
Cs1 0.0000 0.2500 0.3750 1
Ni1 0.0000 0.2500 0.8750 1
Hg1 0.0000 0.0000 0.0000 1
```

## Properties
Offset from the most stable computed form (meV per atom): 0
N(E_F) (states/eV per cell): 8.4
Energy of formation (eV per atom): 0.093
Energy (eV/atom): -1.716



Compound: CsNiHg2
Source: Alexandria
Functional: GGA-PBE
Structure: optimized geometry

CIF file:
```
data_CsNiHg2
_cell_length_a 7.9890
_cell_length_b 7.9890
_cell_length_c 7.9890
_cell_angle_alpha 90.00
_cell_angle_beta 90.00
_cell_angle_gamma 90.00
_symmetry_space_group_name_H-M 'F m -3 m'
_symmetry_Int_Tables_number 225
_symmetry_space_group_name_Hall '-F 4 2 3'
loop_
_atom_site_label
_atom_site_fract_x
_atom_site_fract_y
_atom_site_fract_z
_atom_site_occupancy
Cs1 0.0000 0.0000 0.0000 1
Ni1 0.0000 0.0000 0.5000 1
Hg1 0.2500 0.2500 0.2500 1
```

## Properties
Offset from the most stable computed form (meV per atom): 385
N(E_F) (states/eV per cell): 21.7
Energy of formation (eV per atom): 0.478
Energy (eV/atom): -1.332